1.
A plane-wave DFT calculation with PBE-GGA was carried out for crystalline Tm5Sc2Sb5 at its relaxed geometry.

Computed properties:
- Space-group type: No. 12
- Formation energy without anion corrections: -780.8 meV per atom

Lattice parameters (Å, degrees): 7.323 7.323 12.163 111.03 111.03 33.96
Sites, in units of the cell vectors:
1 Tm 0.000 0.000 0.000
2 Tm 0.163 0.163 0.532
3 Tm 0.220 0.220 0.842
4 Tm 0.780 0.780 0.158
5 Tm 0.837 0.837 0.468
6 Sc 0.446 0.446 0.705
7 Sc 0.554 0.554 0.295
8 Sb 0.190 0.190 0.282
9 Sb 0.387 0.387 0.077
10 Sb 0.500 0.500 0.500
11 Sb 0.613 0.613 0.923
12 Sb 0.810 0.810 0.718

=====

2.
A plane-wave DFT calculation with PBE-GGA was carried out for crystalline TmSc3Sb4 at its relaxed geometry.

Computed properties:
- Space-group type: No. 221
- Formation energy without anion corrections: -962.2 meV per atom

Lattice parameters (Å, degrees): 5.955 5.955 5.955 90.00 90.00 90.00
Sites, in units of the cell vectors:
1 Tm 0.000 0.000 0.000
2 Sc 0.000 0.500 0.500
3 Sc 0.500 0.000 0.500
4 Sc 0.500 0.500 0.000
5 Sb 0.000 0.000 0.500
6 Sb 0.000 0.500 0.000
7 Sb 0.500 0.000 0.000
8 Sb 0.500 0.500 0.500

=====

3.
A plane-wave DFT calculation with PBE-GGA was carried out for crystalline Tm3ScSb4 at its relaxed geometry.

Computed properties:
- Space-group type: No. 221
- Formation energy without anion corrections: -1027.5 meV per atom

Lattice parameters (Å, degrees): 6.077 6.077 6.077 90.00 90.00 90.00
Sites, in units of the cell vectors:
1 Tm 0.000 0.000 0.500
2 Tm 0.000 0.500 0.000
3 Tm 0.500 0.000 0.000
4 Sc 0.500 0.500 0.500
5 Sb 0.000 0.000 0.000
6 Sb 0.000 0.500 0.500
7 Sb 0.500 0.000 0.500
8 Sb 0.500 0.500 0.000

=====

4.
A plane-wave DFT calculation with PBE-GGA was carried out for crystalline Tm3Sc2Sb3 at its relaxed geometry.

Computed properties:
- Space-group type: No. 193
- Formation energy without anion corrections: -888.8 meV per atom

Lattice parameters (Å, degrees): 8.711 8.711 6.049 90.00 90.00 120.00
Sites, in units of the cell vectors:
1 Tm 0.000 0.245 0.250
2 Tm 0.000 0.755 0.750
3 Tm 0.245 0.000 0.250
4 Tm 0.245 0.245 0.750
5 Tm 0.755 0.000 0.750
6 Tm 0.755 0.755 0.250
7 Sc 0.333 0.667 0.000
8 Sc 0.333 0.667 0.500
9 Sc 0.667 0.333 0.000
10 Sc 0.667 0.333 0.500
11 Sb 0.000 0.394 0.750
12 Sb 0.000 0.606 0.250
13 Sb 0.394 0.000 0.750
14 Sb 0.394 0.394 0.250
15 Sb 0.606 0.000 0.250
16 Sb 0.606 0.606 0.750

=====

5.
A plane-wave DFT calculation with PBE-GGA was carried out for crystalline Tm12ScSb6 at its relaxed geometry.

Computed properties:
- Space-group type: No. 148
- Formation energy without anion corrections: -531.2 meV per atom

Lattice parameters (Å, degrees): 8.903 8.903 8.903 110.66 110.66 110.66
Sites, in units of the cell vectors:
1 Tm 0.035 0.301 0.173
2 Tm 0.173 0.035 0.301
3 Tm 0.227 0.594 0.686
4 Tm 0.301 0.173 0.035
5 Tm 0.314 0.773 0.406
6 Tm 0.406 0.314 0.773
7 Tm 0.594 0.686 0.227
8 Tm 0.686 0.227 0.594
9 Tm 0.699 0.827 0.965
10 Tm 0.773 0.406 0.314
11 Tm 0.827 0.965 0.699
12 Tm 0.965 0.699 0.827
13 Sc 0.500 0.500 0.500
14 Sb 0.078 0.860 0.582
15 Sb 0.140 0.418 0.922
16 Sb 0.418 0.922 0.140
17 Sb 0.582 0.078 0.860
18 Sb 0.860 0.582 0.078
19 Sb 0.922 0.140 0.418

=====

6.
A plane-wave DFT calculation with PBE-GGA was carried out for crystalline TmSc2Sb3 at its relaxed geometry.

Computed properties:
- Space-group type: No. 14
- Formation energy without anion corrections: -971.8 meV per atom

Lattice parameters (Å, degrees): 5.984 12.688 8.428 90.00 90.00 90.00
Sites, in units of the cell vectors:
1 Tm 0.250 0.080 0.126
2 Tm 0.250 0.420 0.626
3 Tm 0.750 0.580 0.374
4 Tm 0.750 0.920 0.874
5 Sc 0.250 0.085 0.624
6 Sc 0.250 0.415 0.124
7 Sc 0.251 0.746 0.625
8 Sc 0.251 0.754 0.125
9 Sc 0.749 0.246 0.875
10 Sc 0.749 0.254 0.375
11 Sc 0.750 0.585 0.876
12 Sc 0.750 0.915 0.376
13 Sb 0.249 0.249 0.875
14 Sb 0.249 0.251 0.375
15 Sb 0.250 0.586 0.367
16 Sb 0.250 0.587 0.883
17 Sb 0.250 0.913 0.383
18 Sb 0.250 0.914 0.867
19 Sb 0.750 0.086 0.133
20 Sb 0.750 0.087 0.617
21 Sb 0.750 0.413 0.117
22 Sb 0.750 0.414 0.633
23 Sb 0.751 0.749 0.625
24 Sb 0.751 0.751 0.125

=====

7.
A plane-wave DFT calculation with PBE-GGA was carried out for crystalline TmSc2Sb at its relaxed geometry.

Computed properties:
- Space-group type: No. 11
- Energy above the most stable polymorph in this dataset: 0 meV/atom
- Formation energy without anion corrections: -598.8 meV per atom

Lattice parameters (Å, degrees): 4.358 4.342 10.829 90.00 101.58 90.00
Sites, in units of the cell vectors:
1 Tm 0.192 0.250 0.384
2 Tm 0.808 0.750 0.616
3 Sc 0.058 0.750 0.116
4 Sc 0.442 0.750 0.883
5 Sc 0.558 0.250 0.117
6 Sc 0.942 0.250 0.884
7 Sb 0.338 0.250 0.676
8 Sb 0.662 0.750 0.324

=====

8.
A plane-wave DFT calculation with PBE-GGA was carried out for crystalline TmScSb2 at its relaxed geometry.

Computed properties:
- Space-group type: No. 160
- Energy above the most stable polymorph in this dataset: 103 meV/atom
- Formation energy without anion corrections: -895.2 meV per atom

Lattice parameters (Å, degrees): 7.593 7.593 7.593 32.34 32.34 32.34
Sites, in units of the cell vectors:
1 Tm 0.000 0.000 0.000
2 Sc 0.830 0.830 0.830
3 Sb 0.417 0.417 0.417
4 Sb 0.580 0.580 0.580

=====

9.
A plane-wave DFT calculation with PBE-GGA was carried out for crystalline Tm2ScSb at its relaxed geometry.

Computed properties:
- Space-group type: No. 160
- Energy above the most stable polymorph in this dataset: 266 meV/atom
- Formation energy without anion corrections: -220.7 meV per atom

Lattice parameters (Å, degrees): 9.276 9.276 9.276 24.42 24.42 24.42
Sites, in units of the cell vectors:
1 Tm 0.000 0.000 0.000
2 Tm 0.190 0.190 0.190
3 Sc 0.761 0.761 0.761
4 Sb 0.596 0.596 0.596

=====

10.
A plane-wave DFT calculation with PBE-GGA was carried out for crystalline Tm5Sc3Sb8 at its relaxed geometry.

Computed properties:
- Space-group type: No. 166
- Formation energy without anion corrections: -1011.4 meV per atom

Lattice parameters (Å, degrees): 8.549 8.549 8.549 60.02 60.02 60.02
Sites, in units of the cell vectors:
1 Tm 0.000 0.000 0.000
2 Tm 0.000 0.500 0.500
3 Tm 0.500 0.000 0.500
4 Tm 0.500 0.500 0.000
5 Tm 0.500 0.500 0.500
6 Sc 0.000 0.000 0.500
7 Sc 0.000 0.500 0.000
8 Sc 0.500 0.000 0.000
9 Sb 0.242 0.750 0.750
10 Sb 0.246 0.246 0.246
11 Sb 0.250 0.250 0.758
12 Sb 0.250 0.758 0.250
13 Sb 0.750 0.242 0.750
14 Sb 0.750 0.750 0.242
15 Sb 0.754 0.754 0.754
16 Sb 0.758 0.250 0.250

=====

11.
A plane-wave DFT calculation with PBE-GGA was carried out for crystalline TmScSb2 at its relaxed geometry.

Computed properties:
- Space-group type: No. 166
- Energy above the most stable polymorph in this dataset: 0 meV/atom
- Formation energy without anion corrections: -998.5 meV per atom

Lattice parameters (Å, degrees): 7.364 7.364 7.364 33.55 33.55 33.55
Sites, in units of the cell vectors:
1 Tm 0.000 0.000 0.000
2 Sc 0.500 0.500 0.500
3 Sb 0.246 0.246 0.246
4 Sb 0.754 0.754 0.754

=====

12.
A plane-wave DFT calculation with PBE-GGA was carried out for crystalline TmSc3Sb4 at its relaxed geometry.

Computed properties:
- Space-group type: No. 65
- Formation energy without anion corrections: -964.0 meV per atom

Lattice parameters (Å, degrees): 7.292 7.292 4.210 90.00 90.00 109.47
Sites, in units of the cell vectors:
1 Tm 0.000 0.000 0.000
2 Sc 0.000 0.500 0.500
3 Sc 0.500 0.000 0.500
4 Sc 0.500 0.500 0.000
5 Sb 0.254 0.746 0.000
6 Sb 0.258 0.258 0.500
7 Sb 0.742 0.742 0.500
8 Sb 0.746 0.254 0.000